(1)
VASP calculation (PBE with a Hubbard U) on crystalline GaNi2AuO at its relaxed geometry.

Output
As for the space-group type: P4/mmm, No. 123. Its spin magnetization is 1.34 μB per cell. The value obtained for the raw total energy is -2.174 eV per atom. Its density of states at the Fermi level is 0.486 states/eV/atom.

Unit cell a=4.8200 b=4.8151 c=4.8200 alpha=90.00 beta=90.00 gamma=90.00
Element x y z (fractional)
Ni 0.5000 0.0000 0.0000
Ni 0.0000 0.0000 0.5000
O 0.5000 0.5000 0.5000
Ga 0.0000 0.5000 0.0000
Au 0.0000 0.0000 0.0000



(2)
VASP calculation (PBE with a Hubbard U) on crystalline GaNiAu2O6 at its relaxed geometry.

Output
As for the space-group type: C2/c, No. 15. Its spin magnetization is 1.96 μB per cell. The value obtained for the raw total energy is -4.759 eV per atom.

Unit cell a=5.7432 b=6.8002 c=6.8002 alpha=65.77 beta=79.49 gamma=79.49
Element x y z (fractional)
O 0.5986 0.2287 0.6304
O 0.1289 0.9917 0.8373
O 0.2137 0.2132 0.4487
O 0.7137 0.4487 0.2132
O 0.4014 0.7713 0.3696
O 0.8711 0.0083 0.1627
O 0.3711 0.1627 0.0083
O 0.7863 0.7868 0.5513
O 0.2863 0.5513 0.7868
O 0.0986 0.6304 0.2287
O 0.6289 0.8373 0.9917
O 0.9014 0.3696 0.7713
Au 0.7595 0.6057 0.8773
Au 0.2595 0.8773 0.6057
Au 0.7405 0.1227 0.3943
Au 0.2405 0.3943 0.1227
Ga 0.7500 0.7064 0.2936
Ga 0.2500 0.2936 0.7064
Ni 0.7500 0.1132 0.8868
Ni 0.2500 0.8868 0.1132